The following is a GGA-PBE calculation of crystalline CsRb2AsI6 at its relaxed geometry, from the Alexandria database.

Results
SG = R3, No. 146
raw total energy = -2.62 eV/atom
uncorrected formation energy = -0.947 eV/atom
size of the total moment = 0.00 μB/f.u.
calculated volume = 53.1 Å³ per atom

```
10
Lattice="8.977 0.000 0.000 4.488 7.774 0.000 4.488 2.592 7.603" Properties=species:S:1:pos:R:3 pbc="T T T"
Cs 13.465 7.774 4.201
Rb 8.977 5.183 3.006
Rb 4.488 2.592 7.147
As 4.489 2.591 0.167
I 6.894 2.303 1.821
I 3.036 0.652 1.821
I 3.536 4.819 1.821
I 10.272 7.114 6.049
I 10.002 3.096 6.049
I 6.657 5.339 6.049
```